1.
The following is a DFT calculation (PBEsol) of a relaxed ScFeSe2N crystal.

Calculated values
Total energy   -6.81 eV per atom
Fermi-level density of states   0.582 states/eV per atom
Mass density   5.7 g/cm³
Uncorrected formation energy   -2.3 eV/f.u.

```
data_ScFeSe2N
_cell_length_a 4.817
_cell_length_b 4.817
_cell_length_c 3.415
_cell_angle_alpha 90.00
_cell_angle_beta 90.00
_cell_angle_gamma 90.00
_space_group_name_H-M_alt 'P 4/m m m'
_space_group_IT_number 123
_space_group_name_Hall '-P 4 2'
loop_
_atom_site_label
_atom_site_fract_x
_atom_site_fract_y
_atom_site_fract_z
Sc1 0.000 0.000 0.000
Fe1 0.500 0.500 0.500
Se1 0.000 0.500 0.500
N1 0.500 0.500 0.000
```

=====

2.
The following is a DFT calculation (PBEsol) of a relaxed FeSiN2 crystal.

Calculated values
Total energy   -8.29 eV per atom
Fermi-level density of states   0.631 states/eV per atom
Mass density   5.0 g/cm³
Uncorrected formation energy   -1.4 eV/f.u.

```
data_FeSiN2
_cell_length_a 2.7776
_cell_length_b 2.7776
_cell_length_c 16.8333
_cell_angle_alpha 90.00
_cell_angle_beta 90.00
_cell_angle_gamma 120.00
_space_group_name_H-M_alt 'R -3 m'
_space_group_IT_number 166
_space_group_name_Hall '-R 3 2"'
loop_
_atom_site_label
_atom_site_fract_x
_atom_site_fract_y
_atom_site_fract_z
Fe1 0.0000 0.0000 0.0000
Si1 0.0000 0.0000 0.5000
N1 0.0000 0.0000 0.1083
```

=====

3.
The following is a DFT calculation (PBEsol) of a relaxed SrFe2N2 crystal.

Calculated values
Total energy   -7.70 eV per atom
Fermi-level density of states   0.789 states/eV per atom
Mass density   6.6 g/cm³
Uncorrected formation energy   -1.7 eV/f.u.

```
data_SrFe2N2
_cell_length_a 3.2813
_cell_length_b 3.2813
_cell_length_c 6.1534
_cell_angle_alpha 90.00
_cell_angle_beta 90.00
_cell_angle_gamma 120.00
_space_group_name_H-M_alt 'P -3 m 1'
_space_group_IT_number 164
_space_group_name_Hall '-P 3 2"'
loop_
_atom_site_label
_atom_site_fract_x
_atom_site_fract_y
_atom_site_fract_z
Sr1 0.0000 0.0000 0.0000
Fe1 0.3333 0.6667 0.3847
N1 0.3333 0.6667 0.6904
```

=====

4.
The following is a DFT calculation (PBEsol) of a relaxed Sr2Fe2N crystal.

Calculated values
Total energy   -5.41 eV per atom
Fermi-level density of states   1.377 states/eV per atom
Mass density   5.1 g/cm³
Uncorrected formation energy   3.1 eV/f.u.

```
data_Sr2Fe2N
_cell_length_a 5.715
_cell_length_b 5.715
_cell_length_c 6.052
_cell_angle_alpha 90.00
_cell_angle_beta 90.00
_cell_angle_gamma 90.00
_space_group_name_H-M_alt 'I 4/m m m'
_space_group_IT_number 139
_space_group_name_Hall '-I 4 2'
loop_
_atom_site_label
_atom_site_fract_x
_atom_site_fract_y
_atom_site_fract_z
Sr1 0.000 0.500 0.250
Fe1 0.000 0.000 0.206
N1 0.000 0.000 0.500
```

=====

5.
The following is a DFT calculation (PBEsol) of a relaxed Sr3FeN3 crystal.

Calculated values
Total energy   -6.50 eV per atom
Fermi-level density of states   0.188 states/eV per atom
Mass density   4.7 g/cm³
Uncorrected formation energy   -5.4 eV/f.u.

```
data_Sr3FeN3
_cell_length_a 7.5232
_cell_length_b 7.5232
_cell_length_c 5.2484
_cell_angle_alpha 90.00
_cell_angle_beta 90.00
_cell_angle_gamma 120.00
_space_group_name_H-M_alt 'P 63/m'
_space_group_IT_number 176
_space_group_name_Hall '-P 6c'
loop_
_atom_site_label
_atom_site_fract_x
_atom_site_fract_y
_atom_site_fract_z
Sr1 0.0875 0.3609 0.2500
Fe1 0.3333 0.6667 0.7500
N1 0.1153 0.4281 0.7500
```

=====

6.
The following is a DFT calculation (PBEsol) of a relaxed Sr8Fe3N8 crystal.

Calculated values
Total energy   -6.51 eV per atom
Fermi-level density of states   0.338 states/eV per atom
Mass density   4.7 g/cm³
Uncorrected formation energy   -13.8 eV/f.u.

```
data_Sr8Fe3N8
_cell_length_a 18.480
_cell_length_b 5.289
_cell_length_c 7.357
_cell_angle_alpha 90.00
_cell_angle_beta 105.51
_cell_angle_gamma 90.00
_space_group_name_H-M_alt 'C 1 2/m 1'
_space_group_IT_number 12
loop_
_space_group_symop_operation_xyz
'x,y,z'
'-x,-y,-z'
'-x,y,-z'
'x,-y,z'
'x+1/2,y+1/2,z'
'-x+1/2,-y+1/2,-z'
'-x+1/2,y+1/2,-z'
'x+1/2,-y+1/2,z'
loop_
_atom_site_label
_atom_site_fract_x
_atom_site_fract_y
_atom_site_fract_z
Sr1 0.029 0.000 0.264
Sr2 0.095 0.500 0.967
Sr3 0.167 0.500 0.470
Sr4 0.200 0.000 0.805
Fe1 0.000 0.500 0.500
Fe2 0.188 0.000 0.205
N1 0.027 0.500 0.280
N2 0.108 0.000 0.016
N3 0.179 0.000 0.431
N4 0.224 0.500 0.833
```